Entry 1:
{
  "formula": "La2Nd3Sm5",
  "functional": "PBE",
  "state": "relaxed",
  "lattice_angstrom": [[5.477, -8.607, 0.000], [5.477, 8.607, 0.000], [-5.471, 0.000, 7.447]],
  "species": ["La", "La", "La", "La", "Nd", "Nd", "Nd", "Nd", "Nd", "Nd", "Sm", "Sm", "Sm", "Sm", "Sm", "Sm", "Sm", "Sm", "Sm", "Sm"],
  "fractional_positions": [[0.022, 0.274, 0.045], [0.274, 0.022, 0.545], [0.726, 0.978, 0.455], [0.978, 0.726, 0.955], [0.026, 0.974, 0.750], [0.232, 0.483, 0.464], [0.483, 0.232, 0.964], [0.517, 0.768, 0.036], [0.768, 0.517, 0.536], [0.974, 0.026, 0.250], [0.123, 0.379, 0.749], [0.221, 0.779, 0.750], [0.278, 0.722, 0.250], [0.379, 0.123, 0.249], [0.472, 0.528, 0.250], [0.528, 0.472, 0.750], [0.621, 0.877, 0.751], [0.722, 0.278, 0.750], [0.779, 0.221, 0.250], [0.877, 0.621, 0.251]],
  "polymorph_energy_ev_per_fu": 1.32,
  "total_magnetization_mub_per_cell": 0.00,
  "ef_ev_per_atom": 0.166,
  "e_tot_ev_per_atom": -4.6089
}

---

Entry 2:
{
  "formula": "La12Nd6Sm",
  "functional": "PBE",
  "state": "relaxed",
  "lattice_angstrom": [[6.224, 3.594, 5.194], [-6.224, 3.594, 5.194], [0.000, -7.187, 5.194]],
  "species": ["La", "La", "La", "La", "La", "La", "La", "La", "La", "La", "La", "La", "Nd", "Nd", "Nd", "Nd", "Nd", "Nd", "Sm"],
  "fractional_positions": [[0.019, 0.192, 0.362], [0.192, 0.362, 0.019], [0.218, 0.465, 0.569], [0.362, 0.019, 0.192], [0.431, 0.782, 0.535], [0.465, 0.569, 0.218], [0.535, 0.431, 0.782], [0.569, 0.218, 0.465], [0.638, 0.981, 0.808], [0.782, 0.535, 0.431], [0.808, 0.638, 0.981], [0.981, 0.808, 0.638], [0.098, 0.702, 0.262], [0.262, 0.098, 0.702], [0.298, 0.738, 0.902], [0.702, 0.262, 0.098], [0.738, 0.902, 0.298], [0.902, 0.298, 0.738], [0.000, 0.000, 0.000]],
  "polymorph_energy_ev_per_fu": 0.00,
  "total_magnetization_mub_per_cell": 0.00,
  "ef_ev_per_atom": 0.105,
  "e_tot_ev_per_atom": -4.7610
}

---

Entry 3:
{
  "formula": "LaNd4Sm6",
  "functional": "PBE",
  "state": "relaxed",
  "lattice_angstrom": [[11.204, 0.000, 0.000], [-5.602, 9.703, 0.000], [0.000, 0.000, 3.599]],
  "species": ["La", "Nd", "Nd", "Nd", "Nd", "Sm", "Sm", "Sm", "Sm", "Sm", "Sm"],
  "fractional_positions": [[0.000, 0.000, 0.000], [0.333, 0.667, 0.000], [0.394, 0.197, 0.500], [0.803, 0.197, 0.500], [0.803, 0.606, 0.500], [0.004, 0.502, 0.000], [0.169, 0.338, 0.500], [0.169, 0.831, 0.500], [0.498, 0.502, 0.000], [0.498, 0.996, 0.000], [0.662, 0.831, 0.500]],
  "polymorph_energy_ev_per_fu": 0.00,
  "total_magnetization_mub_per_cell": 0.00,
  "ef_ev_per_atom": 0.145,
  "e_tot_ev_per_atom": -4.6105
}

---

Entry 4:
{
  "formula": "LaNd3Sm5",
  "functional": "PBE",
  "state": "relaxed",
  "lattice_angstrom": [[9.351, -3.245, 0.000], [9.351, 3.245, 0.000], [-4.269, 0.000, 10.700]],
  "species": ["La", "La", "Nd", "Nd", "Nd", "Nd", "Nd", "Nd", "Sm", "Sm", "Sm", "Sm", "Sm", "Sm", "Sm", "Sm", "Sm", "Sm"],
  "fractional_positions": [[0.134, 0.866, 0.750], [0.866, 0.134, 0.250], [0.000, 0.000, 0.000], [0.000, 0.000, 0.500], [0.150, 0.529, 0.484], [0.471, 0.850, 0.016], [0.529, 0.150, 0.984], [0.850, 0.471, 0.516], [0.011, 0.649, 0.127], [0.124, 0.535, 0.786], [0.351, 0.989, 0.373], [0.401, 0.599, 0.250], [0.465, 0.876, 0.714], [0.535, 0.124, 0.286], [0.599, 0.401, 0.750], [0.649, 0.011, 0.627], [0.876, 0.465, 0.214], [0.989, 0.351, 0.873]],
  "polymorph_energy_ev_per_fu": 0.00,
  "total_magnetization_mub_per_cell": 0.00,
  "ef_ev_per_atom": 0.269,
  "e_tot_ev_per_atom": -4.4897
}